Compound: Li2CoSiO4
Source: Alexandria
Functional: PBE with a Hubbard U
Structure: optimized geometry

total magnetic moment = 3.041 μB per formula unit
total energy = -6.383 eV per atom
symmetry = P3_121, No. 152

```
24
Lattice="5.044 0.000 0.000 -2.522 4.368 0.000 0.000 0.000 11.518" Properties=species:S:1:pos:R:3 pbc="T T T"
Li -1.088 2.935 4.769
Li 0.524 1.958 8.608
Li 1.434 1.433 2.910
Li 0.564 3.842 0.930
Li 3.086 0.525 6.749
Li 3.046 2.410 10.589
Co -1.350 2.338 1.920
Co 1.172 2.030 5.759
Co 2.699 0.000 9.599
Si -2.055 3.559 7.679
Si 0.467 0.808 0.000
Si 4.110 0.000 3.839
O -1.146 2.979 8.934
O -1.439 3.706 0.446
O 0.031 1.269 4.285
O 1.083 0.661 7.233
O 0.514 1.886 1.255
O 1.376 1.388 10.264
O 0.631 3.870 5.094
O 3.153 0.498 2.585
O 1.407 3.761 8.125
O 3.929 0.607 11.072
O 2.553 3.099 3.393
O 3.036 2.482 6.424
```